Entry 1:
AlTlOs3 after structural relaxation. Source: Alexandria, functional GGA-PBE.

* E_tot: -4.8657 eV per atom
* energy above the lowest structure with this stoichiometry: 716 kJ/mol of formula units

Cell lengths 4.9069, 4.9069, 4.9069 Å; angles 90.00, 90.00, 90.00 degrees
Space group Pm-3m (No. 221)
Symmetry-distinct sites (fractional):
Al 0.0000 0.0000 0.0000 x1
Tl 0.5000 0.5000 0.5000 x1
Os 0.0000 0.5000 0.5000 x3

=====

Entry 2:
YTaRe after structural relaxation. Source: Alexandria, functional GGA-PBE.

* E_tot: -9.7459 eV per atom
* energy above the lowest structure with this stoichiometry: 129 kJ/mol of formula units

Cell lengths 2.8089, 4.9403, 8.4358 Å; angles 90.00, 90.00, 90.00 degrees
Space group Imm2 (No. 44)
Symmetry-distinct sites (fractional):
Y 0.0000 0.0000 0.0000 x2
Ta 0.0000 0.0000 0.3392 x2
Re 0.0000 0.0000 0.6608 x2

=====

Entry 3:
FeTeMoH after structural relaxation. Source: Alexandria, functional GGA-PBE.

* E_tot: -6.1124 eV per atom
* energy above the lowest structure with this stoichiometry: 51 kJ/mol of formula units

Cell lengths 3.0014, 3.1431, 12.1157 Å; angles 90.00, 90.00, 90.00 degrees
Space group Imm2 (No. 44)
Symmetry-distinct sites (fractional):
Fe 0.0000 0.0000 0.0000 x2
Te 0.0000 0.5000 0.1765 x2
Mo 0.0000 0.0000 0.3910 x2
H 0.0000 0.5000 0.8071 x2

=====

Entry 4:
Rb2TlSnSb after structural relaxation. Source: Alexandria, functional GGA-PBE.

* E_tot: -2.2818 eV per atom
* formation energy from raw total energies: 0.204 eV/atom

Cell lengths 6.9241, 6.9241, 5.7835 Å; angles 90.00, 90.00, 90.00 degrees
Space group P4/mmm (No. 123)
Symmetry-distinct sites (fractional):
Rb 0.0000 0.5000 0.0000 x2
Tl 0.0000 0.0000 0.5000 x1
Sn 0.5000 0.5000 0.0000 x1
Sb 0.5000 0.5000 0.5000 x1

=====

Entry 5:
Cs2NpTlCl8 after structural relaxation. Source: Alexandria, functional GGA-PBE.

* E_tot: -4.2002 eV per atom
* formation energy from raw total energies: -1.551 eV/atom

Cell lengths 7.1132, 7.3399, 10.2648 Å; angles 90.09, 90.04, 94.36 degrees
Space group P-1 (No. 2)
Symmetry-distinct sites (fractional):
Cs 0.0016 0.0001 0.2528 x2
Np 0.5000 0.5000 0.5000 x1
Tl 0.5000 0.5000 0.0000 x1
Cl 0.1804 0.3163 0.5008 x2
Cl 0.1878 0.2274 0.9998 x2
Cl 0.3867 0.7055 0.3207 x2
Cl 0.3877 0.7092 0.6777 x2

=====

Entry 6:
YN2OF after structural relaxation. Source: Alexandria, functional GGA-PBE.

* E_tot: -5.4427 eV per atom
* formation energy from raw total energies: 0.546 eV/atom

Cell lengths 3.5141, 3.5141, 4.5464 Å; angles 90.00, 90.00, 90.00 degrees
Space group P4/mmm (No. 123)
Symmetry-distinct sites (fractional):
Y 0.0000 0.0000 0.0000 x1
N 0.0000 0.5000 0.5000 x2
O 0.5000 0.5000 0.0000 x1
F 0.5000 0.5000 0.5000 x1

=====

Entry 7:
CsHoOsO6 after structural relaxation. Source: Alexandria, functional GGA-PBE.

* E_tot: -6.9581 eV per atom
* formation energy from raw total energies: -1.801 eV/atom

Cell lengths 5.6476, 5.6476, 6.5326 Å; angles 90.00, 90.00, 120.00 degrees
Space group P312 (No. 149)
Symmetry-distinct sites (fractional):
Cs 0.0000 0.0000 0.0000 x1
Ho 0.6667 0.3333 0.5000 x1
Os 0.3333 0.6667 0.5000 x1
O 0.0471 0.4166 0.3320 x6

=====

Entry 8:
CeGeN2 after structural relaxation. Source: Alexandria, functional GGA-PBE.

* E_tot: -7.2496 eV per atom
* formation energy from raw total energies: -0.449 eV/atom

Cell lengths 11.9129, 3.7015, 6.4087 Å; angles 90.00, 99.31, 90.00 degrees
Space group C2/m (No. 12)
Symmetry-distinct sites (fractional):
Ce 0.2367 0.0000 0.2513 x4
Ge 0.0000 0.0000 0.5000 x2
Ge 0.0000 0.5000 0.0000 x2
N 0.1521 0.5000 0.0348 x4
N 0.1660 0.0000 0.5736 x4